## Na3RuW (PBE-GGA)

Data for a relaxed structure of Na3RuW.

Computed properties:
Final energy in Ha/atom: -0.1041
Magnetization in μB per formula unit: 7.21
Calculated volume in Å³/f.u.: 187.4
E above lowest polymorph in eV per atom: 0.000
E_form in eV/atom: 2.40
SG: No. 221
DOS(E_F) in states/eV/atom: 1.764

a b c (Å): 5.722 5.722 5.722
angles (deg): 90.00 90.00 90.00
Last column: magnetic moment on the atom in μB.
Positions (direct):
W 0.000 0.000 0.000  3.35
Ru 0.500 0.500 0.500  2.33
Na 0.000 0.000 0.500  0.01
Na 0.500 0.000 0.000  0.03
Na 0.000 0.500 0.000  0.01